Record 1
The following is a DFT calculation (PBE-GGA) of CaTh2Co after structural relaxation.

Unit cell a=10.688 b=10.688 c=10.688 alpha=20.62 beta=20.62 gamma=20.62
Sites, in units of the cell vectors:
1 Ca 0.000 0.000 0.000
2 Th 0.117 0.117 0.117
3 Th 0.883 0.883 0.883
4 Co 0.500 0.500 0.500

Output
The calculation puts the size of the total moment at 0.00 μB/cell. Its total energy is -5.942 eV/atom. The distance to the lowest polymorph of the same formula is 109 meV/atom.

Record 2
The following is a DFT calculation (PBE-GGA) of Rb2Tl6Bi after structural relaxation.

Unit cell a=7.009 b=7.009 c=8.028 alpha=93.64 beta=93.64 gamma=57.04
Sites, in units of the cell vectors:
1 Rb 0.170 0.170 0.113
2 Rb 0.830 0.830 0.887
3 Tl 0.170 0.685 0.327
4 Tl 0.314 0.314 0.630
5 Tl 0.315 0.830 0.673
6 Tl 0.685 0.170 0.327
7 Tl 0.686 0.686 0.370
8 Tl 0.830 0.315 0.673
9 Bi 0.500 0.500 0.000

Output
The calculation puts the size of the total moment at 0.00 μB/cell. Its total energy is -2.331 eV/atom.

Record 3
The following is a DFT calculation (PBE-GGA) of BaScF2 after structural relaxation.

Unit cell a=7.555 b=7.555 c=7.555 alpha=139.31 beta=139.31 gamma=58.90
Sites, in units of the cell vectors:
1 Ba 0.000 0.000 0.000
2 Ba 0.750 0.250 0.500
3 Sc 0.250 0.750 0.500
4 Sc 0.500 0.500 0.000
5 F 0.312 0.625 0.187
6 F 0.375 0.562 0.687
7 F 0.438 0.125 0.813
8 F 0.875 0.688 0.313

Output
The calculation puts the size of the total moment at 0.00 μB/cell. Its total energy is -5.305 eV/atom. The distance to the lowest polymorph of the same formula is 301 meV/atom. For the formation energy from raw total energies, the calculation gives -9.22 eV per formula unit.

Record 4
The following is a DFT calculation (PBE-GGA) of HoAl4V after structural relaxation.

Unit cell a=5.295 b=5.295 c=5.295 alpha=60.00 beta=60.00 gamma=60.00
Sites, in units of the cell vectors:
1 Ho 0.000 0.000 0.000
2 Al 0.376 0.376 0.376
3 Al 0.376 0.376 0.873
4 Al 0.376 0.873 0.376
5 Al 0.873 0.376 0.376
6 V 0.750 0.750 0.750

Output
The calculation puts the size of the total moment at 0.04 μB/cell. Its total energy is -4.997 eV/atom.

Record 5
The following is a DFT calculation (PBE-GGA) of PrRuClO4 after structural relaxation.

Unit cell a=6.478 b=6.478 c=7.078 alpha=102.19 beta=102.19 gamma=70.55
Sites, in units of the cell vectors:
1 Pr 0.221 0.221 0.110
2 Pr 0.779 0.779 0.890
3 Ru 0.363 0.363 0.724
4 Ru 0.637 0.637 0.276
5 Cl 0.013 0.013 0.765
6 Cl 0.987 0.987 0.235
7 O 0.129 0.482 0.861
8 O 0.283 0.283 0.474
9 O 0.465 0.465 0.232
10 O 0.482 0.129 0.861
11 O 0.518 0.871 0.139
12 O 0.535 0.535 0.768
13 O 0.717 0.717 0.526
14 O 0.871 0.518 0.139

Output
The calculation puts the size of the total moment at 4.05 μB/cell. Its total energy is -6.790 eV/atom. For the formation energy from raw total energies, the calculation gives -11.79 eV per formula unit.

Record 6
The following is a DFT calculation (PBE-GGA) of Cs2RbHgO after structural relaxation.

Unit cell a=6.044 b=6.044 c=5.731 alpha=90.00 beta=90.00 gamma=90.00
Sites, in units of the cell vectors:
1 Cs 0.000 0.500 0.000
2 Cs 0.500 0.000 0.000
3 Rb 0.000 0.000 0.500
4 Hg 0.500 0.500 0.500
5 O 0.000 0.000 0.000

Output
The calculation puts the size of the total moment at 0.00 μB/cell. Its total energy is -2.170 eV/atom. For the formation energy from raw total energies, the calculation gives -2.91 eV per formula unit.

Record 7
The following is a DFT calculation (PBE-GGA) of Pm3PrNi8 after structural relaxation.

Unit cell a=8.954 b=8.954 c=8.954 alpha=33.48 beta=33.48 gamma=33.48
Sites, in units of the cell vectors:
1 Pm 0.000 0.000 0.000
2 Pm 0.125 0.125 0.125
3 Pm 0.499 0.499 0.499
4 Pr 0.624 0.624 0.624
5 Ni 0.062 0.062 0.562
6 Ni 0.062 0.562 0.062
7 Ni 0.064 0.562 0.562
8 Ni 0.312 0.312 0.312
9 Ni 0.562 0.062 0.062
10 Ni 0.562 0.064 0.562
11 Ni 0.562 0.562 0.064
12 Ni 0.812 0.812 0.812

Output
The calculation puts the size of the total moment at 0.00 μB/cell. Its total energy is -5.766 eV/atom.

Record 8
The following is a DFT calculation (PBE-GGA) of ZnCoNiAs after structural relaxation.

Unit cell a=4.132 b=4.132 c=4.132 alpha=60.00 beta=60.00 gamma=60.00
Sites, in units of the cell vectors:
1 Zn 0.000 0.000 0.000
2 Co 0.250 0.250 0.250
3 Ni 0.750 0.750 0.750
4 As 0.500 0.500 0.500

Output
The calculation puts the size of the total moment at 0.76 μB/cell. Its total energy is -4.752 eV/atom.